# PBE Hg2SO5, relaxed
# **Final energy**: -127.61 eV/cell
# **Raw formation energy**: -0.2976 eV per atom
data_Hg2SO5
_cell_length_a 4.935
_cell_length_b 10.899
_cell_length_c 9.709
_cell_angle_alpha 90.00
_cell_angle_beta 90.00
_cell_angle_gamma 90.00
_symmetry_space_group_name_H-M 'C m c m'
_symmetry_Int_Tables_number 63
_symmetry_space_group_name_Hall '-C 2c 2'
loop_
_atom_site_label
_atom_site_type_symbol
_atom_site_fract_x
_atom_site_fract_y
_atom_site_fract_z
Hg1 Hg 0.000 0.154 0.072
S1 S 0.000 0.199 0.750
O1 O 0.000 0.085 0.637
O2 O 0.000 0.264 0.250
O3 O 0.000 0.298 0.633